#w
Y6AgTe2: optimized geometry, PBE.

Unit cell a=22.120 b=4.057 c=11.567 alpha=90.00 beta=90.00 gamma=90.00
Element x y z (fractional)
Y1 0.016 0.250 0.113
Y2 0.031 0.750 0.381
Y3 0.109 0.250 0.835
Y4 0.147 0.750 0.079
Y5 0.158 0.250 0.541
Y6 0.234 0.750 0.756
Y7 0.266 0.250 0.256
Y8 0.342 0.750 0.041
Y9 0.353 0.250 0.579
Y10 0.391 0.750 0.335
Y11 0.469 0.250 0.881
Y12 0.484 0.750 0.613
Y13 0.516 0.250 0.387
Y14 0.531 0.750 0.119
Y15 0.609 0.250 0.665
Y16 0.647 0.750 0.421
Y17 0.658 0.250 0.959
Y18 0.734 0.750 0.744
Y19 0.766 0.250 0.244
Y20 0.842 0.750 0.459
Y21 0.853 0.250 0.921
Y22 0.891 0.750 0.165
Y23 0.969 0.250 0.619
Y24 0.984 0.750 0.887
Ag1 0.074 0.750 0.649
Ag2 0.426 0.250 0.149
Ag3 0.574 0.750 0.851
Ag4 0.926 0.250 0.351
Te1 0.127 0.250 0.280
Te2 0.239 0.250 0.970
Te3 0.261 0.750 0.470
Te4 0.373 0.750 0.780
Te5 0.627 0.250 0.220
Te6 0.739 0.250 0.530
Te7 0.761 0.750 0.030
Te8 0.873 0.750 0.720

- volume (Å³ per cell) = 1038.0
- total magnetization (μB/cell) = 0.0
- symmetry = No. 62


#x
Y6AgTe2: optimized geometry, PBE.

Unit cell a=8.484 b=8.484 c=4.002 alpha=90.00 beta=90.00 gamma=120.00
Element x y z (fractional)
Y1 0.000 0.403 0.000
Y2 0.000 0.744 0.500
Y3 0.256 0.256 0.500
Y4 0.403 0.000 0.000
Y5 0.597 0.597 0.000
Y6 0.744 0.000 0.500
Ag1 0.000 0.000 0.000
Te1 0.333 0.667 0.500
Te2 0.667 0.333 0.500

- volume (Å³ per cell) = 249.4
- total magnetization (μB/cell) = 0.0
- symmetry = No. 189


Most stable one: #w, least stable one: #x.


#w
Y2TlAg: optimized geometry, PBE.

Unit cell a=4.849 b=4.849 c=11.121 alpha=90.00 beta=90.00 gamma=120.00
Element x y z (fractional)
Y1 0.333 0.667 0.102
Y2 0.333 0.667 0.398
Y3 0.667 0.333 0.602
Y4 0.667 0.333 0.898
Tl1 0.333 0.667 0.750
Tl2 0.667 0.333 0.250
Ag1 0.000 0.000 0.000
Ag2 0.000 0.000 0.500

- volume (Å³ per cell) = 226.4
- total magnetization (μB/cell) = 0.0
- symmetry = No. 194


#x
Y2TlAg: optimized geometry, PBE.

Unit cell a=5.222 b=5.222 c=3.768 alpha=90.00 beta=90.00 gamma=90.53
Element x y z (fractional)
Y1 0.000 0.500 0.000
Y2 0.500 0.000 0.000
Tl1 0.000 0.000 0.500
Ag1 0.500 0.500 0.500

- volume (Å³ per cell) = 102.7
- total magnetization (μB/cell) = 0.0
- symmetry = No. 65


Most stable one: #x, least stable one: #w.


#w
Y2TlAg: optimized geometry, PBE.

Unit cell a=3.673 b=3.673 c=7.615 alpha=90.00 beta=90.00 gamma=90.00
Element x y z (fractional)
Y1 0.000 0.000 0.235
Y2 0.000 0.000 0.765
Tl1 0.500 0.500 0.500
Ag1 0.500 0.500 0.000

- volume (Å³ per cell) = 102.8
- total magnetization (μB/cell) = 0.1
- symmetry = No. 123


#x
Y2TlAg: optimized geometry, PBE.

Unit cell a=5.258 b=5.258 c=5.258 alpha=119.96 beta=119.96 gamma=90.06
Element x y z (fractional)
Y1 0.250 0.750 0.500
Y2 0.750 0.250 0.500
Tl1 0.000 0.000 0.000
Ag1 0.500 0.500 0.000

- volume (Å³ per cell) = 102.8
- total magnetization (μB/cell) = 0.0
- symmetry = No. 139


Most stable one: #x, least stable one: #w.


#w
Y2TlAg: optimized geometry, PBE.

Unit cell a=4.893 b=4.893 c=10.407 alpha=90.00 beta=90.00 gamma=120.00
Element x y z (fractional)
Y1 0.333 0.667 0.097
Y2 0.333 0.667 0.403
Y3 0.667 0.333 0.597
Y4 0.667 0.333 0.903
Tl1 0.000 0.000 0.250
Tl2 0.000 0.000 0.750
Ag1 0.333 0.667 0.750
Ag2 0.667 0.333 0.250

- volume (Å³ per cell) = 215.7
- total magnetization (μB/cell) = 0.2
- symmetry = No. 194


#x
Y2TlAg: optimized geometry, PBE.

Unit cell a=4.998 b=4.998 c=10.555 alpha=90.00 beta=90.00 gamma=120.00
Element x y z (fractional)
Y1 0.333 0.667 0.100
Y2 0.333 0.667 0.400
Y3 0.667 0.333 0.600
Y4 0.667 0.333 0.900
Tl1 0.000 0.000 0.000
Tl2 0.000 0.000 0.500
Ag1 0.333 0.667 0.750
Ag2 0.667 0.333 0.250

- volume (Å³ per cell) = 228.3
- total magnetization (μB/cell) = 0.0
- symmetry = No. 194


Most stable one: #w, least stable one: #x.


#w
Ag2W: optimized geometry, PBE.

Unit cell a=5.418 b=5.418 c=8.131 alpha=90.00 beta=90.00 gamma=120.00
Element x y z (fractional)
Ag1 0.000 0.000 0.000
Ag2 0.000 0.000 0.500
Ag3 0.174 0.348 0.250
Ag4 0.174 0.826 0.250
Ag5 0.348 0.174 0.750
Ag6 0.652 0.826 0.250
Ag7 0.826 0.174 0.750
Ag8 0.826 0.652 0.750
W1 0.333 0.667 0.594
W2 0.333 0.667 0.906
W3 0.667 0.333 0.094
W4 0.667 0.333 0.406

- volume (Å³ per cell) = 206.7
- total magnetization (μB/cell) = 0.0
- symmetry = No. 194


#x
Ag2W: optimized geometry, PBE.

Unit cell a=2.734 b=4.662 c=8.018 alpha=90.00 beta=96.56 gamma=90.00
Element x y z (fractional)
Ag1 0.057 0.250 0.235
Ag2 0.409 0.250 0.899
Ag3 0.591 0.750 0.101
Ag4 0.943 0.750 0.765
W1 0.307 0.750 0.434
W2 0.693 0.250 0.566

- volume (Å³ per cell) = 101.5
- total magnetization (μB/cell) = 0.0
- symmetry = No. 11


Most stable one: #x, least stable one: #w.


#w
Zn4Ag3: optimized geometry, PBE.

Unit cell a=7.505 b=7.505 c=4.553 alpha=90.00 beta=90.00 gamma=120.00
Element x y z (fractional)
Zn1 0.046 0.233 0.250
Zn2 0.187 0.954 0.250
Zn3 0.233 0.187 0.750
Zn4 0.333 0.667 0.250
Zn5 0.667 0.333 0.750
Zn6 0.767 0.813 0.250
Zn7 0.813 0.046 0.750
Zn8 0.954 0.767 0.750
Ag1 0.093 0.462 0.750
Ag2 0.369 0.907 0.750
Ag3 0.462 0.369 0.250
Ag4 0.538 0.631 0.750
Ag5 0.631 0.093 0.250
Ag6 0.907 0.538 0.250

- volume (Å³ per cell) = 222.1
- symmetry = No. 176


#x
Zn4Ag3: optimized geometry, PBE.

Unit cell a=7.514 b=7.514 c=4.575 alpha=90.00 beta=90.00 gamma=120.00
Element x y z (fractional)
Zn1 0.100 0.484 0.250
Zn2 0.333 0.667 0.750
Zn3 0.384 0.900 0.250
Zn4 0.484 0.384 0.750
Zn5 0.516 0.616 0.250
Zn6 0.616 0.100 0.750
Zn7 0.667 0.333 0.250
Zn8 0.900 0.516 0.750
Ag1 0.055 0.252 0.750
Ag2 0.197 0.945 0.750
Ag3 0.252 0.197 0.250
Ag4 0.748 0.803 0.750
Ag5 0.803 0.055 0.250
Ag6 0.945 0.748 0.250

- volume (Å³ per cell) = 223.7
- symmetry = No. 176


Most stable one: #w, least stable one: #x.


#w
ZnAg7: optimized geometry, PBE.

Unit cell a=2.889 b=2.889 c=44.015 alpha=90.00 beta=90.00 gamma=90.00
Element x y z (fractional)
Zn1 0.250 0.250 0.140
Zn2 0.750 0.750 0.860
Ag1 0.250 0.250 0.234
Ag2 0.250 0.250 0.331
Ag3 0.250 0.250 0.428
Ag4 0.250 0.250 0.524
Ag5 0.250 0.250 0.620
Ag6 0.250 0.250 0.717
Ag7 0.250 0.250 0.815
Ag8 0.750 0.750 0.185
Ag9 0.750 0.750 0.283
Ag10 0.750 0.750 0.380
Ag11 0.750 0.750 0.476
Ag12 0.750 0.750 0.572
Ag13 0.750 0.750 0.669
Ag14 0.750 0.750 0.766

- volume (Å³ per cell) = 367.3
- symmetry = No. 129


#x
ZnAg7: optimized geometry, PBE.

Unit cell a=2.925 b=4.077 c=34.317 alpha=90.00 beta=90.00 gamma=90.00
Element x y z (fractional)
Zn1 0.250 0.250 0.182
Zn2 0.750 0.750 0.818
Ag1 0.250 0.250 0.261
Ag2 0.250 0.250 0.347
Ag3 0.250 0.250 0.434
Ag4 0.250 0.250 0.522
Ag5 0.250 0.250 0.609
Ag6 0.250 0.250 0.697
Ag7 0.250 0.250 0.787
Ag8 0.750 0.750 0.213
Ag9 0.750 0.750 0.303
Ag10 0.750 0.750 0.391
Ag11 0.750 0.750 0.478
Ag12 0.750 0.750 0.566
Ag13 0.750 0.750 0.653
Ag14 0.750 0.750 0.739

- volume (Å³ per cell) = 409.3
- symmetry = No. 59


Most stable one: #w, least stable one: #x.


#w
AlCoAsAu: optimized geometry, PBE.

Unit cell a=4.433 b=4.433 c=4.433 alpha=60.00 beta=60.00 gamma=60.00
Element x y z (fractional)
Al1 0.000 0.000 0.000
Co1 0.250 0.250 0.250
As1 0.500 0.500 0.500
Au1 0.750 0.750 0.750

- volume (Å³ per cell) = 61.6
- total magnetization (μB/cell) = 0.0
- symmetry = No. 216


#x
AlCoAsAu: optimized geometry, PBE.

Unit cell a=4.451 b=4.451 c=4.451 alpha=60.00 beta=60.00 gamma=60.00
Element x y z (fractional)
Al1 0.000 0.000 0.000
Co1 0.500 0.500 0.500
As1 0.750 0.750 0.750
Au1 0.250 0.250 0.250

- volume (Å³ per cell) = 62.3
- total magnetization (μB/cell) = 1.6
- symmetry = No. 216


Most stable one: #x, least stable one: #w.